(w)
Here is TlCdOs at its PBEsol-relaxed geometry from the Alexandria database. Energies are from SCAN.

Output
magnetic moment	0.89	μB per cell
space-group type	No. 42

POSCAR file:
```
TlCdOs
1.0
0.0000 2.4590 8.3316
1.4677 0.0000 8.3316
1.4677 2.4590 0.0000
Tl Cd Os
1 1 1
Direct
0.0000 0.0000 0.0000
0.2964 0.2964 0.7036
0.6518 0.6518 0.3482
```


(x)
Here is TlCdOs at its PBEsol-relaxed geometry from the Alexandria database. Energies are from SCAN.

Output
magnetic moment	0.00	μB per cell
space-group type	No. 216

POSCAR file:
```
TlCdOs
1.0
0.0000 3.1646 3.1646
3.1646 0.0000 3.1646
3.1646 3.1646 0.0000
Tl Cd Os
1 1 1
Direct
0.0000 0.0000 0.0000
0.7500 0.7500 0.7500
0.5000 0.5000 0.5000
```


(y)
Here is TlCdOs at its PBEsol-relaxed geometry from the Alexandria database. Energies are from SCAN.

Output
magnetic moment	0.55	μB per cell
space-group type	No. 44

POSCAR file:
```
TlCdOs
1.0
-1.4290 2.1123 4.5943
1.4290 -2.1123 4.5943
1.4290 2.1123 -4.5943
Tl Cd Os
1 1 1
Direct
0.0000 0.0000 0.0000
0.6833 0.6833 0.0000
0.3340 0.3340 0.0000
```


The structure with the greatest stability is (w).


(w)
Here is Cd2OsW at its PBEsol-relaxed geometry from the Alexandria database. Energies are from SCAN.

Output
magnetic moment	0.95	μB per cell
space-group type	No. 47

POSCAR file:
```
Cd2OsW
1.0
2.8057 0.0000 0.0000
0.0000 4.5203 0.0000
0.0000 0.0000 5.3024
Cd Os W
2 1 1
Direct
0.0000 0.0000 0.2486
0.0000 0.0000 0.7514
0.5000 0.5000 0.0000
0.5000 0.5000 0.5000
```


(x)
Here is Cd2OsW at its PBEsol-relaxed geometry from the Alexandria database. Energies are from SCAN.

Output
magnetic moment	0.00	μB per cell
space-group type	No. 225

POSCAR file:
```
Cd2OsW
1.0
0.0000 3.2028 3.2028
3.2028 0.0000 3.2028
3.2028 3.2028 0.0000
Cd Os W
2 1 1
Direct
0.2500 0.2500 0.2500
0.7500 0.7500 0.7500
0.0000 0.0000 0.0000
0.5000 0.5000 0.5000
```


(y)
Here is Cd2OsW at its PBEsol-relaxed geometry from the Alexandria database. Energies are from SCAN.

Output
magnetic moment	0.00	μB per cell
space-group type	No. 35

POSCAR file:
```
Cd2OsW
1.0
1.4885 -2.3472 0.0000
1.4885 2.3472 0.0000
0.0000 0.0000 9.8350
Cd Os W
2 1 1
Direct
0.0000 0.0000 0.0000
0.5000 0.5000 0.2751
0.0000 0.0000 0.5285
0.5000 0.5000 0.7416
```


The structure with the greatest stability is (y).


(w)
Here is CdOsW at its PBEsol-relaxed geometry from the Alexandria database. Energies are from SCAN.

Output
magnetic moment	1.01	μB per cell
space-group type	No. 216

POSCAR file:
```
CdOsW
1.0
0.0000 3.0241 3.0241
3.0241 0.0000 3.0241
3.0241 3.0241 0.0000
Cd Os W
1 1 1
Direct
0.0000 0.0000 0.0000
0.7500 0.7500 0.7500
0.2500 0.2500 0.2500
```


(x)
Here is CdOsW at its PBEsol-relaxed geometry from the Alexandria database. Energies are from SCAN.

Output
magnetic moment	0.00	μB per cell
space-group type	No. 156

POSCAR file:
```
CdOsW
1.0
2.8135 0.0000 0.0000
-1.4067 2.4365 0.0000
0.0000 0.0000 7.0682
Cd Os W
1 1 1
Direct
0.0000 0.0000 0.0000
0.3333 0.6667 0.6517
0.6667 0.3333 0.3604
```


The structure with the greatest stability is (x).


(w)
Here is ZnCdOs2 at its PBEsol-relaxed geometry from the Alexandria database. Energies are from SCAN.

Output
magnetic moment	0.00	μB per cell
space-group type	No. 139

POSCAR file:
```
ZnCdOs2
1.0
-1.8894 1.8894 4.2414
1.8894 -1.8894 4.2414
1.8894 1.8894 -4.2414
Zn Cd Os
1 1 2
Direct
0.0000 0.0000 0.0000
0.5000 0.5000 0.0000
0.2500 0.7500 0.5000
0.7500 0.2500 0.5000
```


(x)
Here is ZnCdOs2 at its PBEsol-relaxed geometry from the Alexandria database. Energies are from SCAN.

Output
magnetic moment	0.00	μB per cell
space-group type	No. 47

POSCAR file:
```
ZnCdOs2
1.0
2.7128 0.0000 0.0000
0.0000 4.1101 0.0000
0.0000 0.0000 5.5261
Zn Cd Os
1 1 2
Direct
0.0000 0.0000 0.0000
0.0000 0.0000 0.5000
0.5000 0.5000 0.2163
0.5000 0.5000 0.7837
```


(y)
Here is ZnCdOs2 at its PBEsol-relaxed geometry from the Alexandria database. Energies are from SCAN.

Output
magnetic moment	0.00	μB per cell
space-group type	No. 12

POSCAR file:
```
ZnCdOs2
1.0
4.5630 -1.3942 0.0000
4.5630 1.3942 0.0000
-0.9571 0.0000 4.7098
Zn Cd Os
1 1 2
Direct
0.0000 0.0000 0.0000
0.5000 0.5000 0.5000
0.2584 0.2584 0.7743
0.7416 0.7416 0.2257
```


The structure with the greatest stability is (y).


(w)
Here is Cd3PPb at its PBEsol-relaxed geometry from the Alexandria database. Energies are from SCAN.

Output
magnetic moment	1.46	μB per cell
space-group type	No. 221

POSCAR file:
```
Cd3PPb
1.0
5.4402 0.0000 0.0000
0.0000 5.4402 0.0000
0.0000 0.0000 5.4402
Cd P Pb
3 1 1
Direct
0.0000 0.0000 0.5000
0.0000 0.5000 0.0000
0.5000 0.0000 0.0000
0.5000 0.5000 0.5000
0.0000 0.0000 0.0000
```


(x)
Here is Cd3PPb at its PBEsol-relaxed geometry from the Alexandria database. Energies are from SCAN.

Output
magnetic moment	0.00	μB per cell
space-group type	No. 221

POSCAR file:
```
Cd3PPb
1.0
5.0595 0.0000 0.0000
0.0000 5.0595 0.0000
0.0000 0.0000 5.0595
Cd P Pb
3 1 1
Direct
0.0000 0.0000 0.5000
0.0000 0.5000 0.0000
0.5000 0.0000 0.0000
0.0000 0.0000 0.0000
0.5000 0.5000 0.5000
```


The structure with the greatest stability is (x).


(w)
Here is CdRe2P at its PBEsol-relaxed geometry from the Alexandria database. Energies are from SCAN.

Output
magnetic moment	0.00	μB per cell
space-group type	No. 119

POSCAR file:
```
CdRe2P
1.0
-1.9725 1.9725 3.8541
1.9725 -1.9725 3.8541
1.9725 1.9725 -3.8541
Cd Re P
1 2 1
Direct
0.0000 0.0000 0.0000
0.2500 0.7500 0.5000
0.5000 0.5000 0.0000
0.7500 0.2500 0.5000
```


(x)
Here is CdRe2P at its PBEsol-relaxed geometry from the Alexandria database. Energies are from SCAN.

Output
magnetic moment	0.00	μB per cell
space-group type	No. 166

POSCAR file:
```
CdRe2P
1.0
1.4174 0.8184 8.5923
-1.4174 0.8184 8.5923
0.0000 -1.6367 8.5923
Cd Re P
1 2 1
Direct
0.0000 0.0000 0.0000
0.2369 0.2369 0.2369
0.7631 0.7631 0.7631
0.5000 0.5000 0.5000
```


The structure with the greatest stability is (x).


(w)
Here is CdRe2P at its PBEsol-relaxed geometry from the Alexandria database. Energies are from SCAN.

Output
magnetic moment	0.00	μB per cell
space-group type	No. 65

POSCAR file:
```
CdRe2P
1.0
1.4802 -2.4134 0.0000
1.4802 2.4134 0.0000
0.0000 0.0000 8.5372
Cd Re P
1 2 1
Direct
0.0000 0.0000 0.0000
0.5000 0.5000 0.2892
0.5000 0.5000 0.7108
0.0000 0.0000 0.5000
```


(x)
Here is CdRe2P at its PBEsol-relaxed geometry from the Alexandria database. Energies are from SCAN.

Output
magnetic moment	0.00	μB per cell
space-group type	No. 216

POSCAR file:
```
CdRe2P
1.0
0.0000 3.1340 3.1340
3.1340 0.0000 3.1340
3.1340 3.1340 0.0000
Cd Re P
1 2 1
Direct
0.0000 0.0000 0.0000
0.2500 0.2500 0.2500
0.5000 0.5000 0.5000
0.7500 0.7500 0.7500
```


(y)
Here is CdRe2P at its PBEsol-relaxed geometry from the Alexandria database. Energies are from SCAN.

Output
magnetic moment	0.00	μB per cell
space-group type	No. 38

POSCAR file:
```
CdRe2P
1.0
4.3007 0.0000 0.0000
0.0000 1.4461 5.1076
0.0000 -1.4461 5.1076
Cd Re P
1 2 1
Direct
0.0000 0.0000 0.0000
0.0000 0.2611 0.2611
0.5000 0.6695 0.6695
0.5000 0.3577 0.3577
```


The structure with the greatest stability is (y).


(w)
Here is CdRe2P at its PBEsol-relaxed geometry from the Alexandria database. Energies are from SCAN.

Output
magnetic moment	0.00	μB per cell
space-group type	No. 35

POSCAR file:
```
CdRe2P
1.0
1.4290 -2.3441 0.0000
1.4290 2.3441 0.0000
0.0000 0.0000 10.1389
Cd Re P
1 2 1
Direct
0.0000 0.0000 0.0000
0.0000 0.0000 0.5253
0.5000 0.5000 0.7405
0.5000 0.5000 0.3292
```


(x)
Here is CdRe2P at its PBEsol-relaxed geometry from the Alexandria database. Energies are from SCAN.

Output
magnetic moment	0.00	μB per cell
space-group type	No. 99

POSCAR file:
```
CdRe2P
1.0
2.9160 0.0000 0.0000
0.0000 2.9160 0.0000
0.0000 0.0000 7.3464
Cd Re P
1 2 1
Direct
0.0000 0.0000 0.0000
0.0000 0.0000 0.4855
0.5000 0.5000 0.7184
0.5000 0.5000 0.2997
```


The structure with the greatest stability is (x).


(w)
Here is CdSb2P at its PBEsol-relaxed geometry from the Alexandria database. Energies are from SCAN.

Output
magnetic moment	0.00	μB per cell
space-group type	No. 99

POSCAR file:
```
CdSb2P
1.0
3.4517 0.0000 0.0000
0.0000 3.4517 0.0000
0.0000 0.0000 7.5929
Cd Sb P
1 2 1
Direct
0.0000 0.0000 0.0000
0.0000 0.0000 0.4136
0.5000 0.5000 0.7379
0.5000 0.5000 0.2440
```


(x)
Here is CdSb2P at its PBEsol-relaxed geometry from the Alexandria database. Energies are from SCAN.

Output
magnetic moment	0.00	μB per cell
space-group type	No. 47

POSCAR file:
```
CdSb2P
1.0
3.8053 0.0000 0.0000
0.0000 4.4247 0.0000
0.0000 0.0000 5.3832
Cd Sb P
1 2 1
Direct
0.0000 0.0000 0.0000
0.0000 0.5000 0.5000
0.5000 0.5000 0.0000
0.5000 0.0000 0.5000
```


(y)
Here is CdSb2P at its PBEsol-relaxed geometry from the Alexandria database. Energies are from SCAN.

Output
magnetic moment	0.00	μB per cell
space-group type	No. 160

POSCAR file:
```
CdSb2P
1.0
1.8067 1.0431 8.5688
-1.8067 1.0431 8.5688
0.0000 -2.0861 8.5688
Cd Sb P
1 2 1
Direct
0.0000 0.0000 0.0000
0.2483 0.2483 0.2483
0.4675 0.4675 0.4675
0.7395 0.7395 0.7395
```


The structure with the greatest stability is (y).


(w)
Here is CdSbP2 at its PBEsol-relaxed geometry from the Alexandria database. Energies are from SCAN.

Output
magnetic moment	0.00	μB per cell
space-group type	No. 99

POSCAR file:
```
CdSbP2
1.0
3.1443 0.0000 0.0000
0.0000 3.1443 0.0000
0.0000 0.0000 8.6207
Cd Sb P
1 1 2
Direct
0.0000 0.0000 0.0000
0.5000 0.5000 0.7032
0.0000 0.0000 0.3100
0.5000 0.5000 0.3869
```


(x)
Here is CdSbP2 at its PBEsol-relaxed geometry from the Alexandria database. Energies are from SCAN.

Output
magnetic moment	0.00	μB per cell
space-group type	No. 8

POSCAR file:
```
CdSbP2
1.0
5.6294 -1.5849 0.0000
5.6294 1.5849 0.0000
-2.6053 0.0000 4.9931
Cd Sb P
1 1 2
Direct
0.0000 0.0000 0.0000
0.7455 0.7455 0.0253
0.0629 0.0629 0.5214
0.4200 0.4200 0.5060
```


(y)
Here is CdSbP2 at its PBEsol-relaxed geometry from the Alexandria database. Energies are from SCAN.

Output
magnetic moment	0.00	μB per cell
space-group type	No. 123

POSCAR file:
```
CdSbP2
1.0
3.6392 0.0000 0.0000
0.0000 3.6392 0.0000
0.0000 0.0000 6.0076
Cd Sb P
1 1 2
Direct
0.0000 0.0000 0.0000
0.0000 0.0000 0.5000
0.5000 0.5000 0.1932
0.5000 0.5000 0.8068
```


The structure with the greatest stability is (w).


(w)
Here is Ta2CdP at its PBEsol-relaxed geometry from the Alexandria database. Energies are from SCAN.

Output
magnetic moment	0.00	μB per cell
space-group type	No. 99

POSCAR file:
```
Ta2CdP
1.0
2.8680 0.0000 0.0000
0.0000 2.8680 0.0000
0.0000 0.0000 8.6476
Ta Cd P
2 1 1
Direct
0.0000 0.0000 0.0000
0.5000 0.5000 0.2595
0.0000 0.0000 0.5215
0.5000 0.5000 0.8041
```


(x)
Here is Ta2CdP at its PBEsol-relaxed geometry from the Alexandria database. Energies are from SCAN.

Output
magnetic moment	0.00	μB per cell
space-group type	No. 12

POSCAR file:
```
Ta2CdP
1.0
2.8940 -4.2160 0.0000
2.8940 4.2160 0.0000
-0.8391 0.0000 2.7464
Ta Cd P
2 1 1
Direct
0.0000 0.5000 0.0000
0.5000 0.0000 0.0000
0.0000 0.0000 0.5000
0.5000 0.5000 0.5000
```


The structure with the greatest stability is (w).


(w)
Here is Ta2CdP at its PBEsol-relaxed geometry from the Alexandria database. Energies are from SCAN.

Output
magnetic moment	0.00	μB per cell
space-group type	No. 216

POSCAR file:
```
Ta2CdP
1.0
0.0000 3.2488 3.2488
3.2488 0.0000 3.2488
3.2488 3.2488 0.0000
Ta Cd P
2 1 1
Direct
0.0000 0.0000 0.0000
0.2500 0.2500 0.2500
0.5000 0.5000 0.5000
0.7500 0.7500 0.7500
```


(x)
Here is Ta2CdP at its PBEsol-relaxed geometry from the Alexandria database. Energies are from SCAN.

Output
magnetic moment	0.00	μB per cell
space-group type	No. 35

POSCAR file:
```
Ta2CdP
1.0
1.7586 -2.3111 0.0000
1.7586 2.3111 0.0000
0.0000 0.0000 8.8450
Ta Cd P
2 1 1
Direct
0.0000 0.0000 0.0000
0.5000 0.5000 0.2466
0.0000 0.0000 0.5075
0.5000 0.5000 0.8021
```


The structure with the greatest stability is (x).